An optimized crystal structure of K2AlHPb. Source: the Alexandria database, functional GGA-PBE.

Properties
Crystal system: tetragonal
Energy (eV per atom): -2.377

a = 5.409 Å, b = 5.409 Å, c = 4.781 Å
α = 90.00°, β = 90.00°, γ = 90.00°
Space group P4/mmm (No. 123)
Inequivalent atoms, fractional coordinates:
K  0.000  0.500  0.000 x2
Al  0.000  0.000  0.500 x1
H  0.500  0.500  0.000 x1
Pb  0.500  0.500  0.500 x1